# 1
Density functional theory data (PBE-GGA) for an optimized crystal structure of Sr2PrHg8.

As for the energy of formation from the pure elements: -0.392 eV/atom. The crystal system is monoclinic. For the total energy, the calculation gives -14.87 eV per formula unit.

It has space group C2/m (No. 12), with a = 16.1830 Å, b = 5.3098 Å, c = 7.6026 Å, α = 90.00°, β = 111.58° and γ = 90.00°. The distinct sites, in fractional coordinates, are Sr at (0.2097, 0.0000, 0.1520), Pr at (0.0000, 0.5000, 0.5000), Hg at (0.0116, 0.0000, 0.2180), Hg at (0.0914, 0.5000, 0.9530), Hg at (0.1484, 0.0000, 0.6406) and Hg at (0.1686, 0.5000, 0.3866).

---

# 2
Density functional theory data (PBE-GGA) for an optimized crystal structure of CaMg6ZnO8.

As for the energy above the most stable polymorph in this dataset: 4.9 meV per atom. As for the formation energy from raw total energies: -39.94 eV per formula unit. The crystal system is tetragonal. For the total energy, the calculation gives -92.45 eV per formula unit.

It has space group P4/mmm (No. 123), with a = 4.3904 Å, b = 4.3904 Å, c = 8.6312 Å, α = 90.00°, β = 90.00° and γ = 90.00°. The distinct sites, in fractional coordinates, are Ca at (0.0000, 0.0000, 0.0000), Mg at (0.0000, 0.5000, 0.2574), Mg at (0.5000, 0.5000, 0.0000), Mg at (0.5000, 0.5000, 0.5000), Zn at (0.0000, 0.0000, 0.5000), O at (0.0000, 0.0000, 0.2627), O at (0.0000, 0.5000, 0.0000), O at (0.0000, 0.5000, 0.5000) and O at (0.5000, 0.5000, 0.2511).